Entry 1:
! GGA-PBE K2RbCdPd, optimized geometry; values from VASP
! Formation enthalpy at 0 K ... -10 meV per atom
&SYSTEM
  ibrav = 0, nat = 5, ntyp = 4
/
ATOMIC_SPECIES
K 39.10 K.upf
Rb 85.47 Rb.upf
Cd 112.41 Cd.upf
Pd 106.42 Pd.upf
CELL_PARAMETERS angstrom
6.3433 0.0000 0.0000
0.0000 6.3433 0.0000
0.0000 0.0000 5.4210
ATOMIC_POSITIONS crystal
K 0.0000 0.5000 0.0000
K 0.5000 0.0000 0.0000
Rb 0.0000 0.0000 0.5000
Cd 0.5000 0.5000 0.5000
Pd 0.5000 0.5000 0.0000


Entry 2:
! GGA-PBE Tm3Ga3Co, optimized geometry; values from VASP
! Formation enthalpy at 0 K ... -565 meV per atom
&SYSTEM
  ibrav = 0, nat = 14, ntyp = 3
/
ATOMIC_SPECIES
Tm 168.93 Tm.upf
Ga 69.72 Ga.upf
Co 58.93 Co.upf
CELL_PARAMETERS angstrom
5.3017 -2.0852 0.0000
5.3017 2.0852 0.0000
-4.7565 0.0000 13.0732
ATOMIC_POSITIONS crystal
Tm 0.0310 0.0310 0.3852
Tm 0.1049 0.1049 0.9209
Tm 0.2429 0.2429 0.2375
Tm 0.7571 0.7571 0.7625
Tm 0.8951 0.8951 0.0791
Tm 0.9690 0.9690 0.6148
Ga 0.3570 0.3570 0.4586
Ga 0.3885 0.3885 0.9229
Ga 0.4617 0.4617 0.7609
Ga 0.5383 0.5383 0.2391
Ga 0.6115 0.6115 0.0771
Ga 0.6430 0.6430 0.5414
Co 0.2555 0.2555 0.5953
Co 0.7445 0.7445 0.4047


Entry 3:
! GGA-PBE Ti2InSn2, optimized geometry; values from VASP
! Energy above the most stable polymorph in this dataset ... 0.0839 eV per atom
! Formation enthalpy at 0 K ... -62 meV per atom
&SYSTEM
  ibrav = 0, nat = 10, ntyp = 3
/
ATOMIC_SPECIES
Ti 47.87 Ti.upf
In 114.82 In.upf
Sn 118.71 Sn.upf
CELL_PARAMETERS angstrom
8.4341 0.0000 0.0000
0.0000 8.4341 0.0000
0.0000 0.0000 3.0662
ATOMIC_POSITIONS crystal
Ti 0.1216 0.3784 0.0000
Ti 0.3784 0.8784 0.0000
Ti 0.6216 0.1216 0.0000
Ti 0.8784 0.6216 0.0000
In 0.0000 0.0000 0.5000
In 0.5000 0.5000 0.5000
Sn 0.1698 0.6698 0.5000
Sn 0.3302 0.1698 0.5000
Sn 0.6698 0.8302 0.5000
Sn 0.8302 0.3302 0.5000


Entry 4:
! GGA-PBE CaAl2Te, optimized geometry; values from VASP
! Formation energy without anion corrections ... -265.2 meV per atom
&SYSTEM
  ibrav = 0, nat = 8, ntyp = 3
/
ATOMIC_SPECIES
Ca 40.08 Ca.upf
Al 26.98 Al.upf
Te 127.60 Te.upf
CELL_PARAMETERS angstrom
9.7222 0.0000 0.0000
0.0000 3.9373 0.0000
-1.7381 0.0000 5.2212
ATOMIC_POSITIONS crystal
Ca 0.0000 0.0000 0.0000
Ca 0.5000 0.5000 0.0000
Al 0.0140 0.5000 0.5451
Al 0.2384 0.0000 0.6738
Al 0.5140 0.0000 0.5451
Al 0.7384 0.5000 0.6738
Te 0.2633 0.5000 0.2911
Te 0.7633 0.0000 0.2911


Entry 5:
! GGA-PBE CeTmRh2, optimized geometry; values from VASP
! Formation enthalpy at 0 K ... -848 meV per atom
&SYSTEM
  ibrav = 0, nat = 4, ntyp = 3
/
ATOMIC_SPECIES
Ce 140.12 Ce.upf
Tm 168.93 Tm.upf
Rh 102.91 Rh.upf
CELL_PARAMETERS angstrom
3.7289 0.0000 0.0000
0.0000 4.3010 0.0000
-1.8714 0.0000 5.2279
ATOMIC_POSITIONS crystal
Ce 0.0000 0.0000 0.0000
Tm 0.2809 0.5000 0.5602
Rh 0.5546 0.5000 0.1088
Rh 0.7423 0.0000 0.4831


Entry 6:
! GGA-PBE La2PrTm3, optimized geometry; values from VASP
! Energy above the most stable polymorph in this dataset ... 0.0500 eV per atom
! Formation enthalpy at 0 K ... 194 meV per atom
&SYSTEM
  ibrav = 0, nat = 12, ntyp = 3
/
ATOMIC_SPECIES
La 138.91 La.upf
Pr 140.91 Pr.upf
Tm 168.93 Tm.upf
CELL_PARAMETERS angstrom
4.7547 -6.5917 0.0000
4.7547 6.5917 0.0000
0.0000 0.0000 6.4616
ATOMIC_POSITIONS crystal
La 0.1100 0.2302 0.0000
La 0.2302 0.1100 0.5000
La 0.7698 0.8900 0.0000
La 0.8900 0.7698 0.5000
Pr 0.3320 0.6680 0.7184
Pr 0.6680 0.3320 0.2184
Tm 0.0136 0.6249 0.0286
Tm 0.3751 0.9864 0.0286
Tm 0.4108 0.5892 0.2410
Tm 0.5892 0.4108 0.7410
Tm 0.6249 0.0136 0.5286
Tm 0.9864 0.3751 0.5286


Entry 7:
! GGA-PBE Ga2AgPS6, optimized geometry; values from VASP
! Formation energy without anion corrections ... -269.8 meV per atom
&SYSTEM
  ibrav = 0, nat = 20, ntyp = 4
/
ATOMIC_SPECIES
Ga 69.72 Ga.upf
Ag 107.87 Ag.upf
P 30.97 P.upf
S 32.06 S.upf
CELL_PARAMETERS angstrom
6.5413 -6.6228 0.0000
6.5413 6.6228 0.0000
-2.9223 0.0000 5.8656
ATOMIC_POSITIONS crystal
Ga 0.1140 0.2614 0.1412
Ga 0.2614 0.1140 0.6412
Ga 0.7386 0.8860 0.3588
Ga 0.8860 0.7386 0.8588
Ag 0.4195 0.5805 0.7500
Ag 0.5805 0.4195 0.2500
P 0.2978 0.7022 0.2500
P 0.7022 0.2978 0.7500
S 0.0939 0.2396 0.4680
S 0.1421 0.6903 0.9436
S 0.2396 0.0939 0.9680
S 0.2934 0.5000 0.3288
S 0.3097 0.8579 0.5564
S 0.5000 0.2934 0.8288
S 0.5000 0.7066 0.1712
S 0.6903 0.1421 0.4436
S 0.7066 0.5000 0.6712
S 0.7604 0.9061 0.0320
S 0.8579 0.3097 0.0564
S 0.9061 0.7604 0.5320


Entry 8:
! GGA-PBE Sm3Ho7Th, optimized geometry; values from VASP
! Energy above the most stable polymorph in this dataset ... 0.1176 eV per atom
! Formation enthalpy at 0 K ... 298 meV per atom
&SYSTEM
  ibrav = 0, nat = 22, ntyp = 3
/
ATOMIC_SPECIES
Sm 150.36 Sm.upf
Ho 164.93 Ho.upf
Th 232.04 Th.upf
CELL_PARAMETERS angstrom
8.3888 -5.3003 0.0000
8.3888 5.3003 0.0000
0.0000 0.0000 8.2642
ATOMIC_POSITIONS crystal
Sm 0.0000 0.0000 0.0000
Sm 0.0000 0.0000 0.5000
Sm 0.2766 0.3912 0.7500
Sm 0.3912 0.2766 0.2500
Sm 0.6088 0.7234 0.7500
Sm 0.7234 0.6088 0.2500
Ho 0.1044 0.6033 0.0615
Ho 0.1044 0.6033 0.4385
Ho 0.1134 0.2183 0.2500
Ho 0.2183 0.1134 0.7500
Ho 0.2487 0.7513 0.7500
Ho 0.3967 0.8956 0.0615
Ho 0.3967 0.8956 0.4385
Ho 0.6033 0.1044 0.5615
Ho 0.6033 0.1044 0.9385
Ho 0.7513 0.2487 0.2500
Ho 0.7817 0.8866 0.2500
Ho 0.8866 0.7817 0.7500
Ho 0.8956 0.3967 0.5615
Ho 0.8956 0.3967 0.9385
Th 0.5000 0.5000 0.0000
Th 0.5000 0.5000 0.5000


no.,uncorrected energy (eV for the cell shown)
1,-9.32
2,-67.11
3,-53.69
4,-27.38
5,-28.50
6,-53.77
7,-83.55
8,-100.68